The following is a DFT calculation (PBE) of Tl2CuRu after structural relaxation.

As for the formation energy: 0.77 eV/atom. The total energy is -3.7527 eV/atom. The distance to the lowest polymorph of the same formula is 358 meV per atom.

The space group is F-43m (No. 216) and the conventional cell measures 6.785, 6.785 and 6.785 Å, with angles of 90.00, 90.00 and 90.00 degrees. Symmetry generates all atoms from Tl at (0.000, 0.000, 0.000), Tl at (0.250, 0.250, 0.250), Cu at (0.250, 0.250, 0.750) and Ru at (0.000, 0.000, 0.500).


The following is a DFT calculation (PBE) of TlCuRu2W after structural relaxation.

As for the formation energy: 2.89 eV/atom. The total energy is -4.6986 eV/atom.

The space group is P4/mmm (No. 123) and the conventional cell measures 4.934, 4.934 and 5.092 Å, with angles of 90.00, 90.00 and 90.00 degrees. Symmetry generates all atoms from Tl at (0.000, 0.000, 0.000), Cu at (0.500, 0.500, 0.500), Ru at (0.000, 0.500, 0.000) and W at (0.000, 0.000, 0.500).